1.
DFT (PBE) results for an optimized crystal structure of Tb6Ge3TeSe2.

Values from the calculation:
Formation energy from raw total energies ... -15.9 eV/f.u.
Total magnetization ... 0.000 μB per atom
Final energy ... -5.63 eV/atom

a = 18.347 Å, b = 4.190 Å, c = 8.439 Å
α = 90.00°, β = 103.95°, γ = 90.00°
Space group C2/m (No. 12)
One atom of each set of equivalent atoms:
Tb: 0.002 0.000 0.232 [4 per cell]
Tb: 0.164 0.500 0.091 [4 per cell]
Tb: 0.174 0.500 0.578 [4 per cell]
Ge: 0.000 0.500 0.000 [2 per cell]
Ge: 0.165 0.000 0.332 [4 per cell]
Te: 0.000 0.500 0.500 [2 per cell]
Se: 0.168 0.000 0.834 [4 per cell]

---

2.
DFT (PBE) results for an optimized crystal structure of H4PdPb2.

Values from the calculation:
Total magnetization ... 0.000 μB per atom
Final energy ... -3.52 eV/atom

a = 3.633 Å, b = 3.633 Å, c = 14.260 Å
α = 90.00°, β = 90.00°, γ = 90.00°
Space group I4/mmm (No. 139)
One atom of each set of equivalent atoms:
H: 0.000 0.000 0.121 [4 per cell]
H: 0.000 0.500 0.000 [4 per cell]
Pd: 0.000 0.000 0.000 [2 per cell]
Pb: 0.000 0.000 0.338 [4 per cell]